# TiGeIr

A PBEsol-optimized structure of TiGeIr (SCAN, Alexandria).

## Properties
size of the total moment	0.000	μB/cell
total DFT energy (no corrections)	-36.305	eV per atom

Lattice parameters (Å, degrees): 3.937 6.229 7.344 90.00 90.00 90.00
Fractional positions:
Ge: 0.250 0.243 0.878
Ge: 0.750 0.757 0.122
Ge: 0.250 0.743 0.622
Ge: 0.750 0.257 0.378
Ti: 0.750 0.528 0.811
Ti: 0.250 0.972 0.311
Ti: 0.250 0.472 0.189
Ti: 0.750 0.028 0.689
Ir: 0.250 0.846 0.941
Ir: 0.750 0.154 0.059
Ir: 0.750 0.654 0.441
Ir: 0.250 0.346 0.559



# TiGeIr

A PBEsol-optimized structure of TiGeIr (SCAN, Alexandria).

## Properties
size of the total moment	0.000	μB/cell
total DFT energy (no corrections)	-36.281	eV per atom

Lattice parameters (Å, degrees): 6.498 7.424 7.405 60.08 90.00 115.95
Fractional positions:
Ti: 0.579 0.997 0.752
Ti: 0.396 0.387 0.556
Ti: 0.009 0.613 0.444
Ti: 0.482 0.469 0.016
Ti: 0.013 0.531 0.984
Ti: 0.583 0.003 0.248
Ge: 0.334 0.664 0.173
Ge: 0.670 0.336 0.337
Ge: 0.050 0.100 0.200
Ge: 0.950 0.900 0.800
Ge: 0.670 0.336 0.827
Ge: 0.334 0.664 0.663
Ir: 0.251 0.000 0.000
Ir: 0.994 0.244 0.827
Ir: 0.750 0.756 0.571
Ir: 0.994 0.244 0.429
Ir: 0.251 0.000 0.500
Ir: 0.750 0.756 0.173



# TiZn2GeIr

A PBEsol-optimized structure of TiZn2GeIr (SCAN, Alexandria).

## Properties
size of the total moment	0.028	μB/cell
total DFT energy (no corrections)	-25.195	eV per atom

Lattice parameters (Å, degrees): 4.579 4.579 4.632 90.00 90.00 90.00
Fractional positions:
Ti: 0.000 0.000 0.000
Ge: 0.000 0.000 0.500
Ir: 0.500 0.500 0.500
Zn: 0.000 0.500 0.000
Zn: 0.500 0.000 0.000



# Tl2Ge2Ir

A PBEsol-optimized structure of Tl2Ge2Ir (SCAN, Alexandria).

## Properties
size of the total moment	0.000	μB/cell
total DFT energy (no corrections)	-49.870	eV per atom

Lattice parameters (Å, degrees): 3.858 3.858 8.092 103.79 103.79 90.00
Fractional positions:
Tl: 0.250 0.750 0.500
Tl: 0.750 0.250 0.500
Ge: 0.579 0.579 0.158
Ge: 0.421 0.421 0.842
Ir: 0.000 0.000 0.000



# TlGe3Ir

A PBEsol-optimized structure of TlGe3Ir (SCAN, Alexandria).

## Properties
E above lowest polymorph	0	meV/atom
size of the total moment	0.000	μB/cell
total DFT energy (no corrections)	-39.890	eV per atom

Lattice parameters (Å, degrees): 4.823 4.823 4.823 90.00 90.00 90.00
Fractional positions:
Ge: 0.500 0.000 0.000
Ge: 0.000 0.500 0.000
Ge: 0.000 0.000 0.500
Ir: 0.000 0.000 0.000
Tl: 0.500 0.500 0.500



# Tm5Ge10Ir4

A PBEsol-optimized structure of Tm5Ge10Ir4 (SCAN, Alexandria).

## Properties
size of the total moment	0.000	μB/cell
total DFT energy (no corrections)	-39.560	eV per atom

Lattice parameters (Å, degrees): 4.245 12.809 12.809 90.00 90.00 90.00
Fractional positions:
Ge: 0.000 0.067 0.433
Ge: 0.000 0.199 0.165
Ge: 0.500 0.155 0.995
Ge: 0.000 0.835 0.199
Ge: 0.000 0.665 0.699
Ge: 0.000 0.433 0.933
Ge: 0.500 0.845 0.005
Ge: 0.000 0.301 0.665
Ge: 0.500 0.655 0.505
Ge: 0.000 0.165 0.801
Ge: 0.000 0.567 0.067
Ge: 0.000 0.699 0.335
Ge: 0.500 0.005 0.155
Ge: 0.000 0.801 0.835
Ge: 0.500 0.495 0.655
Ge: 0.500 0.995 0.845
Ge: 0.500 0.345 0.495
Ge: 0.000 0.335 0.301
Ge: 0.500 0.505 0.345
Ge: 0.000 0.933 0.567
Tm: 0.500 0.616 0.884
Tm: 0.500 0.673 0.173
Tm: 0.500 0.327 0.827
Tm: 0.500 0.116 0.616
Tm: 0.500 0.827 0.673
Tm: 0.000 0.000 0.000
Tm: 0.500 0.173 0.327
Tm: 0.000 0.500 0.500
Tm: 0.500 0.384 0.116
Tm: 0.500 0.884 0.384
Ir: 0.000 0.247 0.981
Ir: 0.000 0.747 0.519
Ir: 0.000 0.481 0.747
Ir: 0.000 0.519 0.253
Ir: 0.000 0.253 0.481
Ir: 0.000 0.019 0.247
Ir: 0.000 0.981 0.753
Ir: 0.000 0.753 0.019



# Tm3Ge13Ir4

A PBEsol-optimized structure of Tm3Ge13Ir4 (SCAN, Alexandria).

## Properties
size of the total moment	0.000	μB/cell
total DFT energy (no corrections)	-35.006	eV per atom

Lattice parameters (Å, degrees): 8.887 8.887 8.887 90.00 90.00 90.00
Fractional positions:
Ge: 0.500 0.809 0.356
Ge: 0.191 0.644 0.500
Ge: 0.644 0.500 0.191
Ge: 0.856 0.691 0.000
Ge: 0.000 0.856 0.691
Ge: 0.144 0.691 0.000
Ge: 0.500 0.809 0.644
Ge: 0.809 0.356 0.500
Ge: 0.191 0.356 0.500
Ge: 0.356 0.500 0.191
Ge: 0.691 0.000 0.144
Ge: 0.644 0.500 0.809
Ge: 0.000 0.144 0.309
Ge: 0.000 0.856 0.309
Ge: 0.856 0.309 0.000
Ge: 0.809 0.644 0.500
Ge: 0.500 0.500 0.500
Ge: 0.500 0.191 0.356
Ge: 0.356 0.500 0.809
Ge: 0.500 0.191 0.644
Ge: 0.691 0.000 0.856
Ge: 0.144 0.309 0.000
Ge: 0.000 0.144 0.691
Ge: 0.309 0.000 0.856
Ge: 0.000 0.000 0.000
Ge: 0.309 0.000 0.144
Tm: 0.000 0.500 0.750
Tm: 0.500 0.250 0.000
Tm: 0.250 0.000 0.500
Tm: 0.000 0.500 0.250
Tm: 0.750 0.000 0.500
Tm: 0.500 0.750 0.000
Ir: 0.750 0.250 0.250
Ir: 0.750 0.750 0.250
Ir: 0.750 0.250 0.750
Ir: 0.750 0.750 0.750
Ir: 0.250 0.250 0.250
Ir: 0.250 0.250 0.750
Ir: 0.250 0.750 0.250
Ir: 0.250 0.750 0.750



# TmGeIr

A PBEsol-optimized structure of TmGeIr (SCAN, Alexandria).

## Properties
size of the total moment	0.000	μB/cell
total DFT energy (no corrections)	-48.473	eV per atom

Lattice parameters (Å, degrees): 4.316 6.737 7.386 90.00 90.00 90.00
Fractional positions:
Ge: 0.250 0.319 0.583
Ge: 0.750 0.681 0.417
Ge: 0.250 0.819 0.917
Ge: 0.750 0.181 0.083
Tm: 0.750 0.012 0.700
Tm: 0.250 0.988 0.300
Tm: 0.750 0.512 0.800
Tm: 0.250 0.488 0.200
Ir: 0.750 0.791 0.092
Ir: 0.250 0.709 0.592
Ir: 0.750 0.291 0.408
Ir: 0.250 0.209 0.908



# TmGe2Ir

A PBEsol-optimized structure of TmGe2Ir (SCAN, Alexandria).

## Properties
size of the total moment	0.000	μB/cell
total DFT energy (no corrections)	-41.217	eV per atom

Lattice parameters (Å, degrees): 4.186 8.768 9.307 118.10 103.00 90.00
Fractional positions:
Tm: 0.705 0.705 0.409
Tm: 0.500 0.738 0.000
Tm: 0.295 0.295 0.591
Tm: 0.500 0.262 0.000
Ge: 0.702 0.050 0.403
Ge: 0.076 0.576 0.153
Ge: 0.922 0.922 0.844
Ge: 0.298 0.646 0.597
Ge: 0.702 0.354 0.403
Ge: 0.298 0.950 0.597
Ge: 0.078 0.078 0.156
Ge: 0.924 0.424 0.847
Ir: 0.145 0.395 0.289
Ir: 0.855 0.605 0.711
Ir: 0.145 0.894 0.289
Ir: 0.855 0.106 0.711



# Tm4Ge6Ir7

A PBEsol-optimized structure of Tm4Ge6Ir7 (SCAN, Alexandria).

## Properties
size of the total moment	0.000	μB/cell
total DFT energy (no corrections)	-49.274	eV per atom

Lattice parameters (Å, degrees): 7.141 7.141 7.141 109.47 109.47 109.47
Fractional positions:
Tm: 0.500 0.000 0.000
Tm: 0.500 0.500 0.500
Tm: 0.000 0.500 0.000
Tm: 0.000 0.000 0.500
Ge: 0.684 0.684 0.000
Ge: 0.000 0.316 0.316
Ge: 0.316 0.000 0.316
Ge: 0.316 0.316 0.000
Ge: 0.684 0.000 0.684
Ge: 0.000 0.684 0.684
Ir: 0.750 0.500 0.250
Ir: 0.500 0.750 0.250
Ir: 0.250 0.750 0.500
Ir: 0.250 0.500 0.750
Ir: 0.750 0.250 0.500
Ir: 0.500 0.250 0.750
Ir: 0.000 0.000 0.000



# UGeIr

A PBEsol-optimized structure of UGeIr (SCAN, Alexandria).

## Properties
size of the total moment	5.178	μB/cell
total DFT energy (no corrections)	-65.198	eV per atom

Lattice parameters (Å, degrees): 4.313 6.523 7.629 90.00 90.00 90.00
Fractional positions:
Ir: 0.750 0.772 0.414
Ir: 0.250 0.228 0.586
Ir: 0.250 0.728 0.914
Ir: 0.750 0.272 0.086
U: 0.750 0.007 0.796
U: 0.250 0.993 0.204
U: 0.750 0.507 0.704
U: 0.250 0.493 0.296
Ge: 0.750 0.183 0.415
Ge: 0.250 0.317 0.915
Ge: 0.750 0.683 0.085
Ge: 0.250 0.817 0.585



# GeIrW3

A PBEsol-optimized structure of GeIrW3 (SCAN, Alexandria).

## Properties
size of the total moment	0.000	μB/cell
total DFT energy (no corrections)	-57.936	eV per atom

Lattice parameters (Å, degrees): 4.467 4.467 4.467 90.00 90.00 90.00
Fractional positions:
W: 0.000 0.000 0.500
W: 0.500 0.000 0.000
W: 0.000 0.500 0.000
Ge: 0.000 0.000 0.000
Ir: 0.500 0.500 0.500



no.,energy relative to the elements (kJ/mol of atoms)
1,-86.8
2,-84.5
3,140.3
4,89.5
5,24.5
6,-87.4
7,-58.3
8,-109.4
9,-90.7
10,-102.7
11,-60.4
12,184.6